Record 1
Pa2SiNi PBE-GGA optimized geometry; distance to the lowest polymorph of the same formula = 311 meV/atom
1.0
3.061 0.000 0.000
0.000 5.096 0.000
0.000 0.000 5.096
Si Pa Ni
1 2 1
direct
0.500 0.500 0.500
0.000 0.500 0.000
0.000 0.000 0.500
0.500 0.000 0.000


Record 2
Pa3Si2Ni7 PBE-GGA optimized geometry; distance to the lowest polymorph of the same formula = 73 meV/atom
1.0
3.657 0.000 0.000
0.000 3.819 -0.566
0.000 0.151 13.652
Pa Si Ni
3 2 7
direct
0.500 0.710 0.415
0.500 0.500 0.000
0.500 0.290 0.585
0.000 0.088 0.162
0.000 0.912 0.838
0.000 0.805 0.616
0.500 0.135 0.259
0.000 0.633 0.255
0.000 0.367 0.745
0.000 0.195 0.384
0.500 0.865 0.741
0.000 0.000 0.000


Record 3
Below is a relaxed structure of PaSi6Ni12, with properties calculated at the PBE-GGA level.

Cell and atoms, written as POSCAR:
```
PaSi6Ni12
1.0
6.515 -0.061 -0.086
-1.674 6.297 -0.086
-1.674 -2.156 5.917
Si Ni Pa
6 12 1
direct
0.743 0.743 0.298
0.257 0.257 0.702
0.702 0.257 0.257
0.298 0.743 0.743
0.743 0.298 0.743
0.257 0.702 0.257
0.121 0.879 0.500
0.500 0.121 0.879
0.842 0.585 0.585
0.500 0.879 0.121
0.879 0.500 0.121
0.415 0.158 0.415
0.585 0.842 0.585
0.879 0.121 0.500
0.158 0.415 0.415
0.121 0.500 0.879
0.415 0.415 0.158
0.585 0.585 0.842
0.000 0.000 0.000
```


Record 4
Pa3Si2Ni7 PBE-GGA optimized geometry; distance to the lowest polymorph of the same formula = 0 meV/atom
1.0
3.816 0.000 0.000
0.000 3.816 0.000
-1.908 -1.908 12.888
Ni Pa Si
7 3 2
direct
0.075 0.575 0.150
0.575 0.075 0.150
0.000 0.000 0.000
0.217 0.217 0.435
0.783 0.783 0.565
0.425 0.925 0.850
0.925 0.425 0.850
0.675 0.675 0.351
0.500 0.500 0.000
0.325 0.325 0.649
0.875 0.875 0.750
0.125 0.125 0.250


| no. | raw formation energy (meV/atom) |
| --- | --- |
| 1 | -148 |
| 2 | -344 |
| 3 | -455 |
| 4 | -417 |